Re4Au3: relaxed, PBE.

a = 10.931 Å, b = 10.931 Å, c = 10.931 Å
α = 162.73°, β = 162.73°, γ = 24.52°
Atoms (fractional coordinates):
Re 0.132 0.132 0.000
Au 0.000 0.000 0.000
Re 0.424 0.424 0.000
Au 0.288 0.288 0.000
Re 0.576 0.576 0.000
Re 0.868 0.868 0.000
Au 0.712 0.712 0.000

Values from the calculation:
* energy relative to the elements: 0.44 eV per atom
* volume: 16.4 Å³ per atom
* SG: No. 139

---

TaTiAs3: relaxed, PBE.

a = 4.951 Å, b = 4.951 Å, c = 4.951 Å
α = 90.00°, β = 90.00°, γ = 90.00°
Last column: magnetic moment on the atom in μB.
Atoms (fractional coordinates):
As 0.000 0.500 0.000  0.01
As 0.000 0.000 0.500  0.01
Ta 0.000 0.000 0.000  0.01
Ti 0.500 0.500 0.500  -0.17
As 0.500 0.000 0.000  0.01

Values from the calculation:
* energy relative to the elements: 0.55 eV per atom
* volume: 24.3 Å³ per atom
* SG: No. 221